This record from the Alexandria database describes a relaxed MnCdBrO2 crystal. The functional is PBE with a Hubbard U.

Cell: 5.517 11.833 5.492 Å, 90.00 90.00 90.00°
Space group Cmcm (No. 63)
One atom of each set of equivalent atoms:
Mn 0.000 0.021 0.250 x4
Cd 0.000 0.391 0.250 x4
Br 0.000 0.249 0.750 x4
O 0.238 0.000 0.000 x8

Computed properties:
As for the raw total energy: -5.113 eV/atom.